3
Lattice="3.434 0.000 0.000 -1.717 2.974 0.000 0.000 0.000 8.153" Properties=species:S:1:pos:R:3 comment="GGA-PBE BaTaSb, optimized geometry" dft_energy_ev_per_atom=-5.43 formation_energy_uncorrected_kj_per_mol_fu=155 pbc="T T T"
Ba 0.000 0.000 0.000
Ta 1.717 0.991 5.263
Sb 0.000 1.982 3.157